[1]
An optimized crystal structure of Be3Se, computed with PBE.

The uncorrected formation energy is 860.0 meV per atom. For the excess energy over the best structure of this formula in the dataset, the calculation gives 312 kJ/mol of formula units. The total energy comes out at -11.223 eV/f.u. Its magnetic moment is 0.0 μB per cell.

The space group is Fm-3m (No. 225) and the conventional cell measures 5.820, 5.820 and 5.820 Å, with angles of 90.00, 90.00 and 90.00 degrees. The inequivalent atoms are Be at (0.000, 0.000, 0.000), Be at (0.250, 0.250, 0.250) and Se at (0.000, 0.000, 0.500).

=====

[2]
An optimized crystal structure of BeSe, computed with PBE.

The uncorrected formation energy is 233.9 meV per atom. For the excess energy over the best structure of this formula in the dataset, the calculation gives 200 kJ/mol of formula units. The total energy comes out at -6.743 eV/f.u. Its magnetic moment is 0.0 μB per cell.

The space group is P6_3/mmc (No. 194) and the conventional cell measures 3.5715, 3.5715 and 13.1212 Å, with angles of 90.00, 90.00 and 120.00 degrees. The inequivalent atoms are Be at (0.0000, 0.0000, 0.2500), Be at (0.3333, 0.6667, 0.2500) and Se at (0.3333, 0.6667, 0.6301).

=====

[3]
An optimized crystal structure of BeSe, computed with PBE.

The uncorrected formation energy is -804.5 meV per atom. For the excess energy over the best structure of this formula in the dataset, the calculation gives 0 kJ/mol of formula units. The total energy comes out at -8.820 eV/f.u. Its magnetic moment is 0.0 μB per cell.

The space group is F-43m (No. 216) and the conventional cell measures 5.182, 5.182 and 5.182 Å, with angles of 90.00, 90.00 and 90.00 degrees. The inequivalent atoms are Be at (0.000, 0.000, 0.000) and Se at (0.250, 0.250, 0.250).